# 1
VASP calculation (GGA-PBE) on a relaxed structure of Y6RhS5.

The calculation puts the energy relative to the elements, uncorrected at -1.7860 eV/atom.

It has space group C2/m (No. 12), with a = 6.864 Å, b = 11.867 Å, c = 6.830 Å, α = 90.00°, β = 109.59° and γ = 90.00°. The inequivalent atoms are Y at (0.247, 0.165, 0.246), Y at (0.248, 0.000, 0.751), Rh at (0.000, 0.000, 0.000), S at (0.000, 0.171, 0.500), S at (0.000, 0.334, 0.000) and S at (0.000, 0.500, 0.500).

=====

# 2
VASP calculation (GGA-PBE) on a relaxed structure of NaAlC3.

The energy relative to the lowest polymorph listed for this composition comes out at 0.000 eV/atom.

It has space group Pm-3m (No. 221), with a = 4.041 Å, b = 4.041 Å, c = 4.041 Å, α = 90.00°, β = 90.00° and γ = 90.00°. The inequivalent atoms are Na at (0.000, 0.000, 0.000), Al at (0.500, 0.500, 0.500) and C at (0.000, 0.500, 0.500).

=====

# 3
VASP calculation (GGA-PBE) on a relaxed structure of Pm4PrAl5.

The raw total energy comes out at -4.61 eV/atom.

It has space group P4/mmm (No. 123), with a = 3.714 Å, b = 3.714 Å, c = 18.516 Å, α = 90.00°, β = 90.00° and γ = 90.00°. The inequivalent atoms are Pm at (0.000, 0.000, 0.099), Pm at (0.000, 0.000, 0.298), Pr at (0.000, 0.000, 0.500), Al at (0.500, 0.500, 0.000), Al at (0.500, 0.500, 0.198) and Al at (0.500, 0.500, 0.396).

=====

# 4
VASP calculation (GGA-PBE) on a relaxed structure of CsTl3O.

The energy relative to the lowest polymorph listed for this composition comes out at 1.303 eV/atom. The calculation puts the energy relative to the elements, uncorrected at 1.1736 eV/atom.

It has space group Pm-3m (No. 221), with a = 6.784 Å, b = 6.784 Å, c = 6.784 Å, α = 90.00°, β = 90.00° and γ = 90.00°. The inequivalent atoms are Cs at (0.000, 0.000, 0.000), Tl at (0.000, 0.000, 0.500) and O at (0.500, 0.500, 0.500).

=====

# 5
VASP calculation (GGA-PBE) on a relaxed structure of NpCu2Pt4.

The raw total energy comes out at -6.81 eV/atom.

It has space group C2/m (No. 12), with a = 8.444 Å, b = 6.654 Å, c = 5.233 Å, α = 90.00°, β = 128.12° and γ = 90.00°. The inequivalent atoms are Np at (0.000, 0.000, 0.000), Cu at (0.001, 0.500, 0.751) and Pt at (0.205, 0.205, 0.705).

=====

# 6
VASP calculation (GGA-PBE) on a relaxed structure of CsY2Pb2.

The energy relative to the lowest polymorph listed for this composition comes out at 0.137 eV/atom.

It has space group I4/mmm (No. 139), with a = 5.490 Å, b = 5.490 Å, c = 13.446 Å, α = 90.00°, β = 90.00° and γ = 90.00°. The inequivalent atoms are Cs at (0.000, 0.000, 0.000), Y at (0.000, 0.500, 0.250) and Pb at (0.000, 0.000, 0.371).

=====

> Number 3 is which compound?

Pm4PrAl5